Entry from Alexandria via LeMat-Bulk: TcOsI2 after structural relaxation (PBE).

Cell lengths 4.7753, 4.7753, 4.7753 Å; angles 60.00, 60.00, 60.00 degrees
With the nearest neighbours (Å) after each atom.
Element x y z (fractional)
I  0.2500  0.2500  0.2500  4 Tc 2.92, 4 Os 2.92
I  0.7500  0.7500  0.7500  4 Tc 2.92, 4 Os 2.92
Os  0.5000  0.5000  0.5000  8 I 2.92
Tc  0.0000  0.0000  0.0000  8 I 2.92

Results
Raw formation energy   1.481 eV/atom
Offset from the most stable computed form   90 meV/atom

Entry from Alexandria via LeMat-Bulk: Tc2OsI after structural relaxation (PBE).

Cell lengths 4.5244, 4.5244, 4.5244 Å; angles 60.00, 60.00, 60.00 degrees
With the nearest neighbours (Å) after each atom.
Element x y z (fractional)
I  0.0000  0.0000  0.0000  8 Tc 2.77
Os  0.5000  0.5000  0.5000  8 Tc 2.77
Tc  0.2500  0.2500  0.2500  4 Os 2.77, 4 I 2.77
Tc  0.7500  0.7500  0.7500  4 Os 2.77, 4 I 2.77

Results
Raw formation energy   1.079 eV/atom
Offset from the most stable computed form   0 meV/atom

Entry from Alexandria via LeMat-Bulk: Tc2OsI after structural relaxation (PBE).

Cell lengths 5.7775, 5.7775, 7.0819 Å; angles 65.93, 65.93, 90.00 degrees
With the nearest neighbours (Å) after each atom.
Element x y z (fractional)
I  0.5000  0.5000  0.0000  4 Tc 2.64
I  0.2500  0.7500  0.5000  4 Tc 2.64
Os  0.0000  0.0000  0.0000  4 Tc 2.38
Os  0.7500  0.2500  0.5000  4 Tc 2.38
Tc  0.6636  0.1250  0.2500  2 Os 2.38, 2 I 2.64
Tc  0.0864  0.6250  0.2500  2 Os 2.38, 2 I 2.64
Tc  0.3750  0.3364  0.7500  2 Os 2.38, 2 I 2.64
Tc  0.8750  0.9136  0.7500  2 Os 2.38, 2 I 2.64

Results
Raw formation energy   1.143 eV/atom
Offset from the most stable computed form   64 meV/atom

Entry from Alexandria via LeMat-Bulk: TcOsI2 after structural relaxation (PBE).

Cell lengths 5.9609, 5.9609, 7.2694 Å; angles 65.79, 65.79, 90.00 degrees
With the nearest neighbours (Å) after each atom.
Element x y z (fractional)
I  0.6274  0.1250  0.2500  2 Os 2.57, 2 Tc 2.58
I  0.1226  0.6250  0.2500  2 Os 2.57, 2 Tc 2.58
I  0.3750  0.3726  0.7500  2 Os 2.57, 2 Tc 2.58
I  0.8750  0.8774  0.7500  2 Os 2.57, 2 Tc 2.58
Os  0.0000  0.0000  0.0000  4 I 2.57
Os  0.7500  0.2500  0.5000  4 I 2.57
Tc  0.5000  0.5000  0.0000  4 I 2.58
Tc  0.2500  0.7500  0.5000  4 I 2.58

Results
Raw formation energy   1.391 eV/atom
Offset from the most stable computed form   0 meV/atom

Entry from Alexandria via LeMat-Bulk: TcTe2OsI after structural relaxation (PBE).

Cell lengths 5.1849, 5.1849, 5.5290 Å; angles 90.00, 90.00, 90.00 degrees
With the nearest neighbours (Å) after each atom.
Element x y z (fractional)
I  0.0000  0.0000  0.5000  2 Os 2.76
Te  0.0000  0.5000  0.0000  2 Os 2.59
Te  0.5000  0.0000  0.0000  2 Os 2.59
Os  0.0000  0.0000  0.0000  4 Te 2.59, 2 I 2.76
Tc  0.5000  0.5000  0.5000  4 I 3.67, 8 Te 3.79

Results
Raw formation energy   1.376 eV/atom
Offset from the most stable computed form   0 meV/atom

Entry from Alexandria via LeMat-Bulk: TcTeOsI2 after structural relaxation (PBE).

Cell lengths 5.5061, 5.5061, 5.0828 Å; angles 90.00, 90.00, 90.00 degrees
With the nearest neighbours (Å) after each atom.
Element x y z (fractional)
I  0.0000  0.5000  0.0000  2 Os 2.75
I  0.5000  0.0000  0.0000  2 Os 2.75
Te  0.0000  0.0000  0.5000  2 Os 2.54
Os  0.0000  0.0000  0.0000  2 Te 2.54, 4 I 2.75
Tc  0.5000  0.5000  0.5000  8 I 3.75, 4 Te 3.89

Results
Raw formation energy   1.392 eV/atom
Offset from the most stable computed form   0 meV/atom

Entry from Alexandria via LeMat-Bulk: TcTeOsI2 after structural relaxation (PBE).

Cell lengths 5.4479, 5.4479, 5.1617 Å; angles 90.00, 90.00, 90.00 degrees
With the nearest neighbours (Å) after each atom.
Element x y z (fractional)
I  0.0000  0.5000  0.0000  2 Tc 2.72
I  0.5000  0.0000  0.0000  2 Tc 2.72
Te  0.0000  0.0000  0.5000  2 Tc 2.58
Os  0.5000  0.5000  0.5000  8 I 3.75, 4 Te 3.85
Tc  0.0000  0.0000  0.0000  2 Te 2.58, 4 I 2.72

Results
Raw formation energy   1.634 eV/atom
Offset from the most stable computed form   242 meV/atom

Entry from Alexandria via LeMat-Bulk: TcTe2OsI after structural relaxation (PBE).

Cell lengths 5.0360, 5.0360, 5.3307 Å; angles 90.00, 90.00, 90.00 degrees
With the nearest neighbours (Å) after each atom.
Element x y z (fractional)
I  0.0000  0.0000  0.5000  2 Tc 2.67
Te  0.0000  0.5000  0.0000  2 Tc 2.52
Te  0.5000  0.0000  0.0000  2 Tc 2.52
Os  0.5000  0.5000  0.5000  4 I 3.56, 8 Te 3.67
Tc  0.0000  0.0000  0.0000  4 Te 2.52, 2 I 2.67

Results
Raw formation energy   1.676 eV/atom
Offset from the most stable computed form   300 meV/atom